# Li5SmHg4 PBE-GGA relaxed
data_Li5SmHg4
_chemical_formula_sum 'Li5 Sm1 Hg4'
_cell_length_a 3.436
_cell_length_b 3.436
_cell_length_c 16.961
_cell_angle_alpha 90.00
_cell_angle_beta 90.00
_cell_angle_gamma 90.00
_symmetry_space_group_name_H-M 'P 4/m m m'
_symmetry_Int_Tables_number 123
_symmetry_space_group_name_Hall '-P 4 2'
loop_
_atom_site_label
_atom_site_fract_x
_atom_site_fract_y
_atom_site_fract_z
Li1 0.000 0.000 0.000
Li2 0.000 0.000 0.187
Li3 0.000 0.000 0.363
Sm1 0.500 0.500 0.500
Hg1 0.500 0.500 0.096
Hg2 0.500 0.500 0.287
# Size of the total moment = 0.00 μB per atom
# Total DFT energy (no corrections) = -18.21 eV for the cell shown
# ΔH_f (0 K) = -0.27 eV per atom
# N(E_F) = 5.76 states/eV/cell

---

# LiSm4Hg PBE-GGA relaxed
data_LiSm4Hg
_chemical_formula_sum 'Li4 Sm16 Hg4'
_cell_length_a 8.987
_cell_length_b 8.987
_cell_length_c 10.394
_cell_angle_alpha 90.00
_cell_angle_beta 90.00
_cell_angle_gamma 90.00
_symmetry_space_group_name_H-M 'I 41 m d'
_symmetry_Int_Tables_number 109
_symmetry_space_group_name_Hall 'I 4bw -2'
loop_
_atom_site_label
_atom_site_fract_x
_atom_site_fract_y
_atom_site_fract_z
Li1 0.000 0.000 0.000
Sm1 0.000 0.176 0.746
Sm2 0.000 0.185 0.242
Hg1 0.000 0.000 0.490
# Size of the total moment = 0.00 μB per atom
# Total DFT energy (no corrections) = -75.66 eV for the cell shown
# ΔH_f (0 K) = 0.36 eV per atom
# N(E_F) = 41.89 states/eV/cell

---

# LiSmHg PBE-GGA relaxed
data_LiSmHg
_chemical_formula_sum 'Li3 Sm3 Hg3'
_cell_length_a 7.2631
_cell_length_b 7.2631
_cell_length_c 4.8124
_cell_angle_alpha 90.00
_cell_angle_beta 90.00
_cell_angle_gamma 120.00
_symmetry_space_group_name_H-M 'P -6 2 m'
_symmetry_Int_Tables_number 189
_symmetry_space_group_name_Hall 'P -6 -2'
loop_
_atom_site_label
_atom_site_fract_x
_atom_site_fract_y
_atom_site_fract_z
Li1 0.0000 0.7690 0.0000
Sm1 0.0000 0.4260 0.5000
Hg1 0.0000 0.0000 0.5000
Hg2 0.3333 0.6667 0.0000
# Size of the total moment = 0.00 μB per atom
# Energy relative to the lowest polymorph listed for this composition = 0 meV per atom
# Total DFT energy (no corrections) = -23.96 eV for the cell shown
# ΔH_f (0 K) = -0.35 eV per atom
# N(E_F) = 7.59 states/eV/cell

---

# Li3Sm2Hg2 PBE-GGA relaxed
data_Li3Sm2Hg2
_chemical_formula_sum 'Li6 Sm4 Hg4'
_cell_length_a 10.616
_cell_length_b 4.736
_cell_length_c 6.964
_cell_angle_alpha 90.00
_cell_angle_beta 110.84
_cell_angle_gamma 90.00
_symmetry_space_group_name_H-M 'C 1 2/m 1'
_symmetry_Int_Tables_number 12
loop_
_symmetry_equiv_pos_as_xyz
'x,y,z'
'-x,-y,-z'
'-x,y,-z'
'x,-y,z'
'x+1/2,y+1/2,z'
'-x+1/2,-y+1/2,-z'
'-x+1/2,y+1/2,-z'
'x+1/2,-y+1/2,z'
loop_
_atom_site_label
_atom_site_fract_x
_atom_site_fract_y
_atom_site_fract_z
Li1 0.000 0.000 0.000
Li2 0.119 0.000 0.431
Sm1 0.144 0.500 0.775
Hg1 0.150 0.500 0.228
# Size of the total moment = 0.00 μB per atom
# Total DFT energy (no corrections) = -35.42 eV for the cell shown
# ΔH_f (0 K) = -0.28 eV per atom
# N(E_F) = 12.65 states/eV/cell

---

# LiSm4Hg7 PBE-GGA relaxed
data_LiSm4Hg7
_chemical_formula_sum 'Li2 Sm8 Hg14'
_cell_length_a 15.576
_cell_length_b 5.309
_cell_length_c 9.261
_cell_angle_alpha 90.00
_cell_angle_beta 124.22
_cell_angle_gamma 90.00
_symmetry_space_group_name_H-M 'C 1 2/m 1'
_symmetry_Int_Tables_number 12
loop_
_symmetry_equiv_pos_as_xyz
'x,y,z'
'-x,-y,-z'
'-x,y,-z'
'x,-y,z'
'x+1/2,y+1/2,z'
'-x+1/2,-y+1/2,-z'
'-x+1/2,y+1/2,-z'
'x+1/2,-y+1/2,z'
loop_
_atom_site_label
_atom_site_fract_x
_atom_site_fract_y
_atom_site_fract_z
Li1 0.000 0.000 0.000
Sm1 0.073 0.500 0.752
Sm2 0.239 0.500 0.260
Hg1 0.000 0.500 0.000
Hg2 0.055 0.000 0.358
Hg3 0.178 0.500 0.534
Hg4 0.182 0.000 0.003
# Size of the total moment = 0.00 μB per atom
# Total DFT energy (no corrections) = -54.57 eV for the cell shown
# ΔH_f (0 K) = -0.37 eV per atom
# N(E_F) = 14.91 states/eV/cell

---

# Li2Sm2Hg3 PBE-GGA relaxed
data_Li2Sm2Hg3
_chemical_formula_sum 'Li4 Sm4 Hg6'
_cell_length_a 3.949
_cell_length_b 23.734
_cell_length_c 3.463
_cell_angle_alpha 90.00
_cell_angle_beta 90.00
_cell_angle_gamma 90.00
_symmetry_space_group_name_H-M 'C m m m'
_symmetry_Int_Tables_number 65
_symmetry_space_group_name_Hall '-C 2 2'
loop_
_atom_site_label
_atom_site_fract_x
_atom_site_fract_y
_atom_site_fract_z
Li1 0.000 0.216 0.000
Sm1 0.000 0.082 0.000
Hg1 0.000 0.333 0.500
Hg2 0.000 0.500 0.500
# Size of the total moment = 0.00 μB per atom
# Total DFT energy (no corrections) = -33.23 eV for the cell shown
# ΔH_f (0 K) = -0.35 eV per atom
# N(E_F) = 11.07 states/eV/cell

---

# Li2Sm3Hg5 PBE-GGA relaxed
data_Li2Sm3Hg5
_chemical_formula_sum 'Li4 Sm6 Hg10'
_cell_length_a 10.926
_cell_length_b 10.926
_cell_length_c 3.928
_cell_angle_alpha 90.00
_cell_angle_beta 90.00
_cell_angle_gamma 90.00
_symmetry_space_group_name_H-M 'P 4/m b m'
_symmetry_Int_Tables_number 127
_symmetry_space_group_name_Hall '-P 4 2ab'
loop_
_atom_site_label
_atom_site_fract_x
_atom_site_fract_y
_atom_site_fract_z
Li1 0.116 0.384 0.000
Sm1 0.000 0.000 0.000
Sm2 0.178 0.678 0.000
Hg1 0.000 0.500 0.500
Hg2 0.065 0.215 0.500
# Size of the total moment = 0.00 μB per atom
# Total DFT energy (no corrections) = -47.10 eV for the cell shown
# ΔH_f (0 K) = -0.41 eV per atom
# N(E_F) = 14.18 states/eV/cell

---

# LiSm2Hg4 PBE-GGA relaxed
data_LiSm2Hg4
_chemical_formula_sum 'Li3 Sm6 Hg12'
_cell_length_a 4.9762
_cell_length_b 4.9762
_cell_length_c 25.9917
_cell_angle_alpha 90.00
_cell_angle_beta 90.00
_cell_angle_gamma 120.00
_symmetry_space_group_name_H-M 'R -3 m'
_symmetry_Int_Tables_number 166
_symmetry_space_group_name_Hall '-R 3 2"'
loop_
_atom_site_label
_atom_site_fract_x
_atom_site_fract_y
_atom_site_fract_z
Li1 0.0000 0.0000 0.0000
Sm1 0.0000 0.0000 0.2499
Hg1 0.0000 0.0000 0.1290
Hg2 0.0000 0.0000 0.3697
# Size of the total moment = 0.00 μB per atom
# Energy relative to the lowest polymorph listed for this composition = 0 meV per atom
# Total DFT energy (no corrections) = -44.63 eV for the cell shown
# ΔH_f (0 K) = -0.33 eV per atom
# N(E_F) = 12.94 states/eV/cell

---

# LiSmHg3 PBE-GGA relaxed
data_LiSmHg3
_chemical_formula_sum 'Li4 Sm4 Hg12'
_cell_length_a 26.521
_cell_length_b 3.616
_cell_length_c 5.095
_cell_angle_alpha 90.00
_cell_angle_beta 96.86
_cell_angle_gamma 90.00
_symmetry_space_group_name_H-M 'C 1 2/m 1'
_symmetry_Int_Tables_number 12
loop_
_symmetry_equiv_pos_as_xyz
'x,y,z'
'-x,-y,-z'
'-x,y,-z'
'x,-y,z'
'x+1/2,y+1/2,z'
'-x+1/2,-y+1/2,-z'
'-x+1/2,y+1/2,-z'
'x+1/2,-y+1/2,z'
loop_
_atom_site_label
_atom_site_fract_x
_atom_site_fract_y
_atom_site_fract_z
Li1 0.138 0.000 0.322
Sm1 0.069 0.500 0.789
Hg1 0.035 0.000 0.270
Hg2 0.171 0.000 0.836
Hg3 0.220 0.500 0.296
# Size of the total moment = 0.00 μB per atom
# Energy relative to the lowest polymorph listed for this composition = 0 meV per atom
# Total DFT energy (no corrections) = -36.16 eV for the cell shown
# ΔH_f (0 K) = -0.30 eV per atom
# N(E_F) = 11.49 states/eV/cell

---

# Li2Sm3Hg3 PBE-GGA relaxed
data_Li2Sm3Hg3
_chemical_formula_sum 'Li4 Sm6 Hg6'
_cell_length_a 3.797
_cell_length_b 5.217
_cell_length_c 20.381
_cell_angle_alpha 90.00
_cell_angle_beta 90.00
_cell_angle_gamma 90.00
_symmetry_space_group_name_H-M 'I m m m'
_symmetry_Int_Tables_number 71
_symmetry_space_group_name_Hall '-I 2 2'
loop_
_atom_site_label
_atom_site_fract_x
_atom_site_fract_y
_atom_site_fract_z
Li1 0.000 0.000 0.242
Sm1 0.000 0.000 0.000
Sm2 0.000 0.500 0.127
Hg1 0.000 0.000 0.500
Hg2 0.000 0.500 0.355
# Size of the total moment = 0.10 μB per atom
# Total DFT energy (no corrections) = -42.98 eV for the cell shown
# ΔH_f (0 K) = -0.33 eV per atom
# N(E_F) = 13.87 states/eV/cell

---

# LiSm8Hg2 PBE-GGA relaxed
data_LiSm8Hg2
_chemical_formula_sum 'Li2 Sm16 Hg4'
_cell_length_a 18.306
_cell_length_b 5.319
_cell_length_c 7.107
_cell_angle_alpha 90.00
_cell_angle_beta 105.20
_cell_angle_gamma 90.00
_symmetry_space_group_name_H-M 'C 1 2/m 1'
_symmetry_Int_Tables_number 12
loop_
_symmetry_equiv_pos_as_xyz
'x,y,z'
'-x,-y,-z'
'-x,y,-z'
'x,-y,z'
'x+1/2,y+1/2,z'
'-x+1/2,-y+1/2,-z'
'-x+1/2,y+1/2,-z'
'x+1/2,-y+1/2,z'
loop_
_atom_site_label
_atom_site_fract_x
_atom_site_fract_y
_atom_site_fract_z
Li1 0.000 0.000 0.000
Sm1 0.024 0.500 0.765
Sm2 0.091 0.000 0.462
Sm3 0.163 0.000 0.967
Sm4 0.194 0.500 0.300
Hg1 0.188 0.500 0.724
# Size of the total moment = 0.00 μB per atom
# Total DFT energy (no corrections) = -83.22 eV for the cell shown
# ΔH_f (0 K) = -0.12 eV per atom
# N(E_F) = 21.01 states/eV/cell

---

# LiSm4Hg2 PBE-GGA relaxed
data_LiSm4Hg2
_chemical_formula_sum 'Li3 Sm12 Hg6'
_cell_length_a 5.2889
_cell_length_b 5.2889
_cell_length_c 26.0962
_cell_angle_alpha 90.00
_cell_angle_beta 90.00
_cell_angle_gamma 120.00
_symmetry_space_group_name_H-M 'R -3 m'
_symmetry_Int_Tables_number 166
_symmetry_space_group_name_Hall '-R 3 2"'
loop_
_atom_site_label
_atom_site_fract_x
_atom_site_fract_y
_atom_site_fract_z
Li1 0.0000 0.0000 0.0000
Sm1 0.0000 0.0000 0.2152
Sm2 0.0000 0.0000 0.3724
Hg1 0.0000 0.0000 0.0953
# Size of the total moment = 0.00 μB per atom
# Energy relative to the lowest polymorph listed for this composition = 89 meV per atom
# Total DFT energy (no corrections) = -66.03 eV for the cell shown
# ΔH_f (0 K) = -0.09 eV per atom
# N(E_F) = 33.79 states/eV/cell